## InMoRuF2 (PBE+U)

Data for InMoRuF2 after structural relaxation.

The structure in POSCAR format:
```
InMoRuF2
1.0
4.157 0.000 0.000
0.000 4.157 0.000
0.000 0.000 5.571
In Mo Ru F
1 1 1 2
direct
0.000 0.000 0.000
0.500 0.500 0.000
0.000 0.000 0.500
0.000 0.500 0.500
0.500 0.000 0.500
```

Summary:
The space group is P4/mmm (123). The raw total energy comes out at -4.700 eV per atom. Its density is 6.0 g/cm3. The value obtained for the density of states at the Fermi level is 3.083 states/eV/cell.